(P)
Below is an optimized crystal structure of Cd2SO, with properties calculated at the PBE-GGA level.

Cell: 13.0057 3.9215 6.7382 Å, 90.00 101.17 90.00°
Closest atoms and distances in Å follow each position.
Space group Cm (No. 8)
Symmetry-distinct sites (fractional):
Cd: 0.0000 0.0000 0.0000  3 O 2.23-2.28
Cd: 0.0195 0.5000 0.4499  1 O 2.22
Cd: 0.2384 0.5000 0.1719  2 O 2.24-2.26
Cd: 0.2814 0.0000 0.7478  2 O 2.27
S: 0.0811 0.0000 0.6816  4 Cd 2.54-2.57
S: 0.3191 0.0000 0.3893  4 Cd 2.55-2.56
O: 0.0638 0.5000 0.1475  4 Cd 2.22-2.28
O: 0.3256 0.5000 0.9128  4 Cd 2.23-2.27

(Q)
Below is an optimized crystal structure of Cd2SO, with properties calculated at the PBE-GGA level.

Cell: 5.5532 5.5532 10.9539 Å, 90.00 90.00 90.00°
Closest atoms and distances in Å follow each position.
Space group I-42d (No. 122)
Symmetry-distinct sites (fractional):
Cd: 0.2012 0.2500 0.1250  2 O 2.25
S: 0.0000 0.0000 0.5000  4 Cd 2.56
O: 0.0000 0.0000 0.0000  4 Cd 2.25

(R)
Below is an optimized crystal structure of Cd2SO, with properties calculated at the PBE-GGA level.

Cell: 6.3765 6.3765 6.3765 Å, 90.00 90.00 90.00°
Closest atoms and distances in Å follow each position.
Space group Fm-3m (No. 225)
Symmetry-distinct sites (fractional):
Cd: 0.2500 0.2500 0.2500  4 O 2.76, 4 S 2.76
S: 0.0000 0.0000 0.0000  8 Cd 2.76
O: 0.0000 0.0000 0.5000  8 Cd 2.76

Relative energies in meV/atom: (P) 10; (Q) 0; (R) 581